The following is a DFT calculation (PBE-GGA) of MnCoReCSBr after structural relaxation.

Cell: 3.487 3.792 9.197 Å, 78.95 84.83 89.99°
Element x y z (fractional)
Mn 0.000 0.000 0.000
Co 0.936 0.875 0.271
Re 0.444 0.390 0.238
C 0.465 0.931 0.152
S 0.904 0.313 0.406
Br 0.045 0.586 0.815

As for the raw total energy: -7.37 eV per atom. The density of states at the Fermi level is 2.36 states/eV/f.u. The calculation puts the excess energy over the best structure of this formula in the dataset at 0 meV/atom.